Record 1
The following is a DFT calculation (PBE-GGA) of crystalline Tl4IF5 at its relaxed geometry.

## Properties
* crystal system: orthorhombic

Cell lengths 7.6997, 9.6129, 7.3682 Å; angles 90.00, 90.00, 90.00 degrees
Last column: nearest neighbours and their distance in Å.
Space group Pmmn (No. 59, origin choice 2)
One atom of each set of equivalent atoms:
Tl 0.0647 0.2500 0.0624 x4  2 F 2.22
Tl 0.2500 0.0302 0.5568 x4  3 F 2.54-2.58
I 0.2500 0.7500 0.1613 x2  2 Tl 2.93
F 0.0171 0.5770 0.7577 x8  1 Tl 2.22
F 0.2500 0.2500 0.7581 x2  4 Tl 2.58-2.66

***

Record 2
The following is a DFT calculation (PBE-GGA) of crystalline TlIF3 at its relaxed geometry.

## Properties
* DOS at the Fermi energy: 5.38 states/eV per cell
* energy relative to the lowest polymorph listed for this composition: 247 meV/atom
* crystal system: cubic

Cell lengths 4.5812, 4.5812, 4.5812 Å; angles 90.00, 90.00, 90.00 degrees
Last column: nearest neighbours and their distance in Å.
Space group Pm-3m (No. 221)
One atom of each set of equivalent atoms:
Tl 0.0000 0.0000 0.0000 x1  6 F 2.29
I 0.5000 0.5000 0.5000 x1  12 F 3.24
F 0.0000 0.0000 0.5000 x3  2 Tl 2.29

***

Record 3
The following is a DFT calculation (PBE-GGA) of crystalline TlIF2 at its relaxed geometry.

## Properties
* DOS at the Fermi energy: 5.76 states/eV per cell
* energy relative to the lowest polymorph listed for this composition: 694 meV/atom
* crystal system: trigonal

Cell lengths 3.4324, 3.4324, 26.6320 Å; angles 90.00, 90.00, 120.00 degrees
Last column: nearest neighbours and their distance in Å.
Space group R-3m (No. 166, hexagonal axes)
One atom of each set of equivalent atoms:
Tl 0.0000 0.0000 0.0000 x3  2 F 2.38
I 0.0000 0.0000 0.5000 x3  6 F 2.86
F 0.0000 0.0000 0.0894 x6  1 Tl 2.38

***

Record 4
The following is a DFT calculation (PBE-GGA) of crystalline TlIF6 at its relaxed geometry.

## Properties
* DOS at the Fermi energy: 0.00 states/eV per cell
* energy relative to the lowest polymorph listed for this composition: 33 meV/atom
* crystal system: trigonal

Cell lengths 5.8111, 5.8111, 16.2845 Å; angles 90.00, 90.00, 120.00 degrees
Last column: nearest neighbours and their distance in Å.
Space group R-3m (No. 166, hexagonal axes)
One atom of each set of equivalent atoms:
Tl 0.0000 0.0000 0.0000 x3  12 F 3.28
I 0.0000 0.0000 0.5000 x3  6 F 2.01
F 0.0104 0.5052 0.0940 x18  1 I 2.01

***

Record 5
The following is a DFT calculation (PBE-GGA) of crystalline TlIF at its relaxed geometry.

## Properties
* DOS at the Fermi energy: 9.53 states/eV per cell
* energy relative to the lowest polymorph listed for this composition: 33 meV/atom
* crystal system: monoclinic

Cell lengths 19.3038, 4.0369, 5.7219 Å; angles 90.00, 98.59, 90.00 degrees
Last column: nearest neighbours and their distance in Å.
Space group C2/m (No. 12)
One atom of each set of equivalent atoms:
Tl 0.1909 0.0000 0.2473 x4  3 F 2.52-2.57
I 0.0152 0.5000 0.7577 x4  2 I 2.92
F 0.2304 0.0000 0.6960 x4  3 Tl 2.52-2.57

***

Record 6
The following is a DFT calculation (PBE-GGA) of crystalline TlIF2 at its relaxed geometry.

## Properties
* DOS at the Fermi energy: 0.00 states/eV per cell
* energy relative to the lowest polymorph listed for this composition: 0 meV/atom
* crystal system: trigonal

Cell lengths 4.5532, 4.5532, 19.5857 Å; angles 90.00, 90.00, 120.00 degrees
Last column: nearest neighbours and their distance in Å.
Space group R-3m (No. 166, hexagonal axes)
One atom of each set of equivalent atoms:
Tl 0.0000 0.0000 0.0000 x3  6 F 2.86
I 0.0000 0.0000 0.5000 x3  2 F 2.14
F 0.0000 0.0000 0.3905 x6  1 I 2.14

***

Number 1: uncorrected energy -3.53 eV per atom, ΔE_f (raw) -1.50 eV per atom, mass density 6.33 g/cm³. Number 2: uncorrected energy -3.02 eV per atom, ΔE_f (raw) -1.12 eV per atom, mass density 6.71 g/cm³. Number 3: uncorrected energy -2.57 eV per atom, ΔE_f (raw) -0.66 eV per atom, mass density 6.77 g/cm³. Number 4: uncorrected energy -3.55 eV per atom, ΔE_f (raw) -1.66 eV per atom, mass density 4.66 g/cm³. Number 5: uncorrected energy -3.05 eV per atom, ΔE_f (raw) -1.12 eV per atom, mass density 5.28 g/cm³. Number 6: uncorrected energy -3.27 eV per atom, ΔE_f (raw) -1.35 eV per atom, mass density 5.23 g/cm³.